1:
Compound: PuPa3Ge2
Source: Alexandria
Functional: PBE
Structure: optimized geometry

Computed properties:
space group	P-4m2
DOS at the Fermi energy	2.15	states/eV/atom

a b c (Å): 4.223 4.223 7.905
angles (deg): 90.00 90.00 90.00
Sites, in units of the cell vectors:
Pu (0.000, 0.000, 0.000)
Pa (0.000, 0.500, 0.348)
Pa (0.500, 0.000, 0.652)
Pa (0.500, 0.500, 0.000)
Ge (0.000, 0.500, 0.719)
Ge (0.500, 0.000, 0.281)



2:
Compound: PuPa3Ge2
Source: Alexandria
Functional: PBE
Structure: optimized geometry

Computed properties:
space group	R-3c
DOS at the Fermi energy	1.46	states/eV/atom

a b c (Å): 7.615 7.615 7.615
angles (deg): 55.67 55.67 55.67
Sites, in units of the cell vectors:
Pu (0.000, 0.000, 0.000)
Pu (0.500, 0.500, 0.500)
Pa (0.132, 0.750, 0.368)
Pa (0.250, 0.632, 0.868)
Pa (0.368, 0.132, 0.750)
Pa (0.632, 0.868, 0.250)
Pa (0.750, 0.368, 0.132)
Pa (0.868, 0.250, 0.632)
Ge (0.183, 0.183, 0.183)
Ge (0.317, 0.317, 0.317)
Ge (0.683, 0.683, 0.683)
Ge (0.817, 0.817, 0.817)



Which is the most stable structure? 1 is the most stable.



1:
Compound: PuPaZnGe
Source: Alexandria
Functional: PBE
Structure: optimized geometry

Computed properties:
space group	F-43m
DOS at the Fermi energy	2.46	states/eV/atom

a b c (Å): 7.060 7.060 7.060
angles (deg): 90.00 90.00 90.00
Sites, in units of the cell vectors:
Pu (0.000, 0.000, 0.000)
Pu (0.000, 0.500, 0.500)
Pu (0.500, 0.000, 0.500)
Pu (0.500, 0.500, 0.000)
Pa (0.000, 0.000, 0.500)
Pa (0.000, 0.500, 0.000)
Pa (0.500, 0.000, 0.000)
Pa (0.500, 0.500, 0.500)
Zn (0.250, 0.250, 0.250)
Zn (0.250, 0.750, 0.750)
Zn (0.750, 0.250, 0.750)
Zn (0.750, 0.750, 0.250)
Ge (0.250, 0.250, 0.750)
Ge (0.250, 0.750, 0.250)
Ge (0.750, 0.250, 0.250)
Ge (0.750, 0.750, 0.750)



2:
Compound: PuPaZnGe
Source: Alexandria
Functional: PBE
Structure: optimized geometry

Computed properties:
space group	Amm2
DOS at the Fermi energy	1.60	states/eV/atom

a b c (Å): 5.359 3.036 10.697
angles (deg): 90.00 90.00 90.00
Sites, in units of the cell vectors:
Pu (0.000, 0.000, 0.000)
Pu (0.000, 0.500, 0.500)
Pa (0.000, 0.000, 0.733)
Pa (0.000, 0.500, 0.233)
Zn (0.500, 0.000, 0.866)
Zn (0.500, 0.500, 0.366)
Ge (0.500, 0.000, 0.595)
Ge (0.500, 0.500, 0.095)



Which is the most stable structure? 1 is the most stable.



1:
Compound: Pa2GeRh
Source: Alexandria
Functional: PBE
Structure: optimized geometry

Computed properties:
space group	P2_1/m
DOS at the Fermi energy	1.44	states/eV/atom

a b c (Å): 5.900 3.939 8.007
angles (deg): 90.00 108.96 90.00
Sites, in units of the cell vectors:
Pa (0.193, 0.250, 0.405)
Pa (0.281, 0.750, 0.068)
Pa (0.719, 0.250, 0.932)
Pa (0.807, 0.750, 0.595)
Ge (0.366, 0.750, 0.698)
Ge (0.634, 0.250, 0.302)
Rh (0.127, 0.250, 0.802)
Rh (0.873, 0.750, 0.198)



2:
Compound: Pa2GeRh
Source: Alexandria
Functional: PBE
Structure: optimized geometry

Computed properties:
space group	P4/mmm
DOS at the Fermi energy	1.29	states/eV/atom

a b c (Å): 4.343 4.343 4.276
angles (deg): 90.00 90.00 90.00
Sites, in units of the cell vectors:
Pa (0.000, 0.500, 0.000)
Pa (0.500, 0.000, 0.000)
Ge (0.000, 0.000, 0.500)
Rh (0.500, 0.500, 0.500)



Which is the most stable structure? 1 is the most stable.